{"formula": "CaHo5Tl6", "functional": "GGA-PBE", "state": "relaxed", "lattice_angstrom": [[4.643, -8.062, 0.000], [4.643, 8.062, 0.000], [-3.086, 0.000, 4.388]], "species": ["Ca", "Ho", "Ho", "Ho", "Ho", "Ho", "Tl", "Tl", "Tl", "Tl", "Tl", "Tl"], "frac_coords": [[0.000, 0.000, 0.000], [0.163, 0.837, 0.500], [0.332, 0.668, 0.000], [0.500, 0.500, 0.500], [0.668, 0.332, 0.000], [0.837, 0.163, 0.500], [0.085, 0.420, 0.253], [0.255, 0.255, 0.755], [0.420, 0.085, 0.253], [0.580, 0.915, 0.747], [0.745, 0.745, 0.245], [0.915, 0.580, 0.747]], "density_g_cm3": 10.570, "dos_at_fermi_per_ev_cell": 9.058}

{"formula": "LaPm2SmEr4", "functional": "GGA-PBE", "state": "relaxed", "lattice_angstrom": [[7.204, 0.000, 0.000], [3.597, 6.248, 0.000], [0.011, 0.003, 11.546]], "species": ["La", "La", "Pm", "Pm", "Pm", "Pm", "Sm", "Sm", "Er", "Er", "Er", "Er", "Er", "Er", "Er", "Er"], "frac_coords": [[0.000, 0.000, 0.000], [0.000, 0.500, 0.000], [0.000, 0.000, 0.500], [0.500, 0.000, 0.000], [0.500, 0.000, 0.500], [0.500, 0.500, 0.500], [0.000, 0.500, 0.500], [0.500, 0.500, 0.000], [0.167, 0.168, 0.748], [0.167, 0.668, 0.749], [0.332, 0.332, 0.251], [0.333, 0.832, 0.251], [0.667, 0.168, 0.749], [0.668, 0.668, 0.749], [0.833, 0.332, 0.251], [0.833, 0.832, 0.252]], "density_g_cm3": 7.977, "dos_at_fermi_per_ev_cell": 21.329}

{"formula": "TlSiHg2", "functional": "GGA-PBE", "state": "relaxed", "lattice_angstrom": [[3.145, 0.000, 0.000], [0.000, 5.558, 0.000], [0.000, 0.000, 5.653]], "species": ["Tl", "Si", "Hg", "Hg"], "frac_coords": [[0.000, 0.000, 0.000], [0.500, 0.500, 0.000], [0.000, 0.500, 0.500], [0.500, 0.000, 0.500]], "raw_formation_energy_mev_per_atom": 378, "density_g_cm3": 10.649, "dos_at_fermi_per_ev_cell": 1.471}

{"formula": "InSn5Rh3", "functional": "GGA-PBE", "state": "relaxed", "lattice_angstrom": [[5.809, -4.547, 0.000], [5.809, 4.547, 0.000], [-5.073, 0.000, 8.431]], "species": ["In", "In", "Sn", "Sn", "Sn", "Sn", "Sn", "Sn", "Sn", "Sn", "Sn", "Sn", "Rh", "Rh", "Rh", "Rh", "Rh", "Rh"], "frac_coords": [[0.101, 0.101, 0.312], [0.899, 0.899, 0.688], [0.054, 0.626, 0.331], [0.236, 0.236, 0.026], [0.287, 0.713, 0.000], [0.374, 0.946, 0.669], [0.422, 0.422, 0.642], [0.578, 0.578, 0.358], [0.626, 0.054, 0.331], [0.713, 0.287, 0.000], [0.764, 0.764, 0.974], [0.946, 0.374, 0.669], [0.000, 0.000, 0.000], [0.000, 0.000, 0.500], [0.329, 0.329, 0.833], [0.344, 0.344, 0.337], [0.656, 0.656, 0.663], [0.671, 0.671, 0.167]], "density_g_cm3": 7.584, "dos_at_fermi_per_ev_cell": 9.008}

{"formula": "La2ErSc", "functional": "GGA-PBE", "state": "relaxed", "lattice_angstrom": [[0.000, 4.015, 4.015], [4.015, 0.000, 4.015], [4.015, 4.015, 0.000]], "species": ["La", "La", "Er", "Sc"], "frac_coords": [[0.250, 0.250, 0.250], [0.750, 0.750, 0.750], [0.000, 0.000, 0.000], [0.500, 0.500, 0.500]], "polymorph_energy_ev_per_fu": 0.133, "density_g_cm3": 6.284, "dos_at_fermi_per_ev_cell": 6.515}

{"formula": "Pm3ScSb2", "functional": "GGA-PBE", "state": "relaxed", "lattice_angstrom": [[4.501, 0.000, 0.000], [0.000, 4.501, 0.000], [0.000, 0.000, 8.610]], "species": ["Pm", "Pm", "Pm", "Sc", "Sb", "Sb"], "frac_coords": [[0.000, 0.000, 0.000], [0.000, 0.500, 0.648], [0.500, 0.000, 0.352], [0.500, 0.500, 0.000], [0.000, 0.500, 0.272], [0.500, 0.000, 0.728]], "polymorph_energy_ev_per_fu": 0.000, "raw_formation_energy_mev_per_atom": -833, "density_g_cm3": 6.888, "dos_at_fermi_per_ev_cell": 5.963}

{"formula": "La2SiPb", "functional": "GGA-PBE", "state": "relaxed", "lattice_angstrom": [[0.000, 3.878, 3.878], [3.878, 0.000, 3.878], [3.878, 3.878, 0.000]], "species": ["La", "La", "Si", "Pb"], "frac_coords": [[0.250, 0.250, 0.250], [0.750, 0.750, 0.750], [0.000, 0.000, 0.000], [0.500, 0.500, 0.500]], "polymorph_energy_ev_per_fu": 0.633, "raw_formation_energy_mev_per_atom": -403, "density_g_cm3": 7.304, "dos_at_fermi_per_ev_cell": 6.234}

{"formula": "SrLaGaPd", "functional": "GGA-PBE", "state": "relaxed", "lattice_angstrom": [[0.000, 3.763, 3.763], [3.763, 0.000, 3.763], [3.763, 3.763, 0.000]], "species": ["Sr", "La", "Ga", "Pd"], "frac_coords": [[0.000, 0.000, 0.000], [0.500, 0.500, 0.500], [0.250, 0.250, 0.250], [0.750, 0.750, 0.750]], "density_g_cm3": 6.274, "dos_at_fermi_per_ev_cell": 4.144}

{"formula": "CaSmGaHg", "functional": "GGA-PBE", "state": "relaxed", "lattice_angstrom": [[0.000, 3.731, 3.731], [3.731, 0.000, 3.731], [3.731, 3.731, 0.000]], "species": ["Ca", "Sm", "Ga", "Hg"], "frac_coords": [[0.000, 0.000, 0.000], [0.500, 0.500, 0.500], [0.250, 0.250, 0.250], [0.750, 0.750, 0.750]], "density_g_cm3": 7.365, "dos_at_fermi_per_ev_cell": 1.910}

{"formula": "CrSb", "functional": "GGA-PBE", "state": "relaxed", "lattice_angstrom": [[3.202, 0.000, 0.000], [-1.601, 2.773, 0.000], [0.000, 0.000, 10.283]], "species": ["Cr", "Cr", "Sb", "Sb"], "frac_coords": [[0.333, 0.667, 0.110], [0.667, 0.333, 0.890], [0.333, 0.667, 0.681], [0.667, 0.333, 0.319]], "raw_formation_energy_mev_per_atom": 664, "density_g_cm3": 6.321, "dos_at_fermi_per_ev_cell": 4.712}

{"formula": "CaMn2CoRe", "functional": "GGA-PBE", "state": "relaxed", "lattice_angstrom": [[4.509, 0.000, 0.000], [0.000, 4.509, 0.000], [0.000, 0.000, 4.694]], "species": ["Ca", "Mn", "Mn", "Co", "Re"], "frac_coords": [[0.000, 0.000, 0.000], [0.000, 0.500, 0.500], [0.500, 0.000, 0.500], [0.000, 0.000, 0.500], [0.500, 0.500, 0.000]], "polymorph_energy_ev_per_fu": 0.767, "density_g_cm3": 6.875, "dos_at_fermi_per_ev_cell": 6.315}

{"formula": "MnCuW3", "functional": "GGA-PBE", "state": "relaxed", "lattice_angstrom": [[4.454, 0.000, 0.000], [0.000, 4.454, 0.000], [0.000, 0.000, 4.454]], "species": ["Mn", "Cu", "W", "W", "W"], "frac_coords": [[0.000, 0.000, 0.000], [0.500, 0.500, 0.500], [0.000, 0.000, 0.500], [0.000, 0.500, 0.000], [0.500, 0.000, 0.000]], "polymorph_energy_ev_per_fu": 0.000, "density_g_cm3": 12.592, "dos_at_fermi_per_ev_cell": 6.277}

{"formula": "LaPr8Y3", "functional": "GGA-PBE", "state": "relaxed", "lattice_angstrom": [[-3.368, 5.750, 5.887], [3.368, -5.750, 5.887], [3.368, 5.750, -5.887]], "species": ["La", "Pr", "Pr", "Pr", "Pr", "Pr", "Pr", "Pr", "Pr", "Y", "Y", "Y"], "frac_coords": [[0.000, 0.000, 0.000], [0.086, 0.253, 0.834], [0.269, 0.231, 0.500], [0.269, 0.769, 0.038], [0.419, 0.253, 0.166], [0.581, 0.747, 0.834], [0.731, 0.231, 0.962], [0.731, 0.769, 0.500], [0.914, 0.747, 0.166], [0.276, 0.776, 0.500], [0.500, 0.500, 0.000], [0.724, 0.224, 0.500]], "density_g_cm3": 5.582, "dos_at_fermi_per_ev_cell": 19.200}

{"formula": "LaAg2Ir", "functional": "GGA-PBE", "state": "relaxed", "lattice_angstrom": [[1.586, 0.916, 9.559], [-1.586, 0.916, 9.559], [0.000, -1.831, 9.559]], "species": ["La", "Ag", "Ag", "Ir"], "frac_coords": [[0.000, 0.000, 0.000], [0.511, 0.511, 0.511], [0.767, 0.767, 0.767], [0.256, 0.256, 0.256]], "polymorph_energy_ev_per_fu": 2.148, "density_g_cm3": 10.903, "dos_at_fermi_per_ev_cell": 2.012}

{"formula": "LiMgCrH6", "functional": "GGA-PBE", "state": "relaxed", "lattice_angstrom": [[4.355, 0.000, 0.000], [-2.178, 3.772, 0.000], [0.000, 0.000, 8.466]], "species": ["Li", "Li", "Mg", "Mg", "Cr", "Cr", "H", "H", "H", "H", "H", "H", "H", "H", "H", "H", "H", "H"], "frac_coords": [[0.333, 0.667, 0.250], [0.667, 0.333, 0.750], [0.000, 0.000, 0.000], [0.000, 0.000, 0.500], [0.333, 0.667, 0.750], [0.667, 0.333, 0.250], [0.022, 0.511, 0.615], [0.022, 0.511, 0.885], [0.489, 0.511, 0.615], [0.489, 0.511, 0.885], [0.489, 0.978, 0.615], [0.489, 0.978, 0.885], [0.511, 0.022, 0.115], [0.511, 0.022, 0.385], [0.511, 0.489, 0.115], [0.511, 0.489, 0.385], [0.978, 0.489, 0.115], [0.978, 0.489, 0.385]], "density_g_cm3": 2.132, "dos_at_fermi_per_ev_cell": 3.832}

{"formula": "UTl2Cl3O3", "functional": "GGA-PBE", "state": "relaxed", "lattice_angstrom": [[8.178, 0.000, 0.000], [-4.089, 7.082, 0.000], [0.000, 0.000, 3.285]], "species": ["U", "Tl", "Tl", "Cl", "Cl", "Cl", "O", "O", "O"], "frac_coords": [[0.000, 0.000, 0.000], [0.333, 0.667, 0.500], [0.667, 0.333, 0.500], [0.000, 0.413, 0.000], [0.413, 0.000, 0.000], [0.587, 0.587, 0.000], [0.000, 0.827, 0.500], [0.173, 0.173, 0.500], [0.827, 0.000, 0.500]], "raw_formation_energy_mev_per_atom": -1526, "density_g_cm3": 6.992, "dos_at_fermi_per_ev_cell": 3.941}

{"formula": "SmHo6Tm12", "functional": "GGA-PBE", "state": "relaxed", "lattice_angstrom": [[7.359, 4.249, 3.410], [-7.359, 4.249, 3.410], [0.000, -8.497, 3.410]], "species": ["Sm", "Ho", "Ho", "Ho", "Ho", "Ho", "Ho", "Tm", "Tm", "Tm", "Tm", "Tm", "Tm", "Tm", "Tm", "Tm", "Tm", "Tm", "Tm"], "frac_coords": [[0.000, 0.000, 0.000], [0.285, 0.688, 0.688], [0.312, 0.312, 0.715], [0.312, 0.715, 0.312], [0.688, 0.285, 0.688], [0.688, 0.688, 0.285], [0.715, 0.312, 0.312], [0.112, 0.500, 0.888], [0.112, 0.888, 0.500], [0.114, 0.345, 0.345], [0.345, 0.114, 0.345], [0.345, 0.345, 0.114], [0.500, 0.112, 0.888], [0.500, 0.888, 0.112], [0.655, 0.655, 0.886], [0.655, 0.886, 0.655], [0.886, 0.655, 0.655], [0.888, 0.112, 0.500], [0.888, 0.500, 0.112]], "polymorph_energy_ev_per_fu": 5.413, "density_g_cm3": 8.221, "dos_at_fermi_per_ev_cell": 30.348}

{"formula": "LiTb2Dy3Se6", "functional": "GGA-PBE", "state": "relaxed", "lattice_angstrom": [[3.510, -6.096, 0.000], [3.510, 6.096, 0.000], [-2.361, 0.000, 6.633]], "species": ["Li", "Tb", "Tb", "Dy", "Dy", "Dy", "Se", "Se", "Se", "Se", "Se", "Se"], "frac_coords": [[0.000, 0.000, 0.000], [0.335, 0.665, 0.000], [0.665, 0.335, 0.000], [0.168, 0.832, 0.500], [0.500, 0.500, 0.500], [0.832, 0.168, 0.500], [0.081, 0.405, 0.246], [0.240, 0.240, 0.756], [0.405, 0.081, 0.246], [0.595, 0.919, 0.754], [0.760, 0.760, 0.244], [0.919, 0.595, 0.754]], "raw_formation_energy_mev_per_atom": -1756, "density_g_cm3": 7.523, "dos_at_fermi_per_ev_cell": 5.194}

{"formula": "Ca2SmZn4", "functional": "GGA-PBE", "state": "relaxed", "lattice_angstrom": [[-1.926, 2.240, 9.801], [1.926, -2.240, 9.801], [1.926, 2.240, -9.801]], "species": ["Ca", "Ca", "Sm", "Zn", "Zn", "Zn", "Zn"], "frac_coords": [[0.189, 0.189, 0.000], [0.811, 0.811, 0.000], [0.500, 0.000, 0.500], [0.065, 0.565, 0.500], [0.366, 0.366, 0.000], [0.634, 0.634, 0.000], [0.935, 0.435, 0.500]], "density_g_cm3": 4.831, "dos_at_fermi_per_ev_cell": 5.849}

{"formula": "SmRe4B2", "functional": "GGA-PBE", "state": "relaxed", "lattice_angstrom": [[2.045, -6.716, 0.000], [2.045, 6.716, 0.000], [0.000, 0.000, 4.051]], "species": ["Sm", "Re", "Re", "Re", "Re", "B", "B"], "frac_coords": [[0.000, 0.000, 0.000], [0.180, 0.820, 0.500], [0.307, 0.693, 0.000], [0.693, 0.307, 0.000], [0.820, 0.180, 0.500], [0.378, 0.622, 0.500], [0.622, 0.378, 0.500]], "density_g_cm3": 13.680, "dos_at_fermi_per_ev_cell": 5.038}

{"formula": "ScCr2I", "functional": "GGA-PBE", "state": "relaxed", "lattice_angstrom": [[0.000, 3.175, 3.175], [3.175, 0.000, 3.175], [3.175, 3.175, 0.000]], "species": ["Sc", "Cr", "Cr", "I"], "frac_coords": [[0.000, 0.000, 0.000], [0.250, 0.250, 0.250], [0.750, 0.750, 0.750], [0.500, 0.500, 0.500]], "polymorph_energy_ev_per_fu": 0.067, "raw_formation_energy_mev_per_atom": 798, "density_g_cm3": 7.159, "dos_at_fermi_per_ev_cell": 4.963}

{"formula": "LiVSb2Rh", "functional": "GGA-PBE", "state": "relaxed", "lattice_angstrom": [[5.058, 0.000, 0.000], [0.000, 5.058, 0.000], [0.000, 0.000, 4.350]], "species": ["Li", "V", "Sb", "Sb", "Rh"], "frac_coords": [[0.000, 0.000, 0.000], [0.500, 0.500, 0.000], [0.000, 0.500, 0.500], [0.500, 0.000, 0.500], [0.000, 0.000, 0.500]], "raw_formation_energy_mev_per_atom": 532, "density_g_cm3": 6.033, "dos_at_fermi_per_ev_cell": 5.801}

{"formula": "BePdS", "functional": "GGA-PBE", "state": "relaxed", "lattice_angstrom": [[3.352, 0.000, 0.000], [0.000, 3.418, 0.000], [-0.247, 0.000, 7.674]], "species": ["Be", "Be", "Pd", "Pd", "S", "S"], "frac_coords": [[0.000, 0.000, 0.000], [0.480, 0.500, 0.668], [0.015, 0.000, 0.312], [0.448, 0.500, 0.110], [0.495, 0.000, 0.834], [0.970, 0.500, 0.516]], "raw_formation_energy_mev_per_atom": -492, "density_g_cm3": 5.571, "dos_at_fermi_per_ev_cell": 0.000}

{"formula": "KVBBr2", "functional": "GGA-PBE", "state": "relaxed", "lattice_angstrom": [[5.542, 0.000, 0.000], [0.000, 5.542, 0.000], [0.000, 0.000, 4.235]], "species": ["K", "V", "B", "Br", "Br"], "frac_coords": [[0.000, 0.000, 0.000], [0.500, 0.500, 0.000], [0.500, 0.500, 0.500], [0.000, 0.500, 0.500], [0.500, 0.000, 0.500]], "raw_formation_energy_mev_per_atom": 290, "density_g_cm3": 3.328, "dos_at_fermi_per_ev_cell": 3.096}

Number 1: total energy -3.596 eV per atom. Number 2: total energy -4.673 eV per atom. Number 3: total energy -1.721 eV per atom. Number 4: total energy -5.269 eV per atom. Number 5: total energy -5.112 eV per atom. Number 6: total energy -5.638 eV per atom. Number 7: total energy -5.150 eV per atom. Number 8: total energy -4.210 eV per atom. Number 9: total energy -3.039 eV per atom. Number 10: total energy -6.209 eV per atom. Number 11: total energy -6.606 eV per atom. Number 12: total energy -8.926 eV per atom. Number 13: total energy -4.894 eV per atom. Number 14: total energy -4.596 eV per atom. Number 15: total energy -3.648 eV per atom. Number 16: total energy -5.574 eV per atom. Number 17: total energy -4.069 eV per atom. Number 18: total energy -5.580 eV per atom. Number 19: total energy -2.254 eV per atom. Number 20: total energy -9.780 eV per atom. Number 21: total energy -5.984 eV per atom. Number 22: total energy -4.793 eV per atom. Number 23: total energy -4.841 eV per atom. Number 24: total energy -3.758 eV per atom.